[1]
VASP calculation (PBE-GGA) on a relaxed structure of TbNbSe.

It has space group Immm (No. 71), with a = 3.5376 Å, b = 4.9402 Å, c = 15.7844 Å, α = 90.00°, β = 90.00° and γ = 90.00°. The inequivalent atoms are Tb at (0.0000, 0.0000, 0.1614), Nb at (0.0000, 0.2597, 0.5000) and Se at (0.0000, 0.0000, 0.3430).

The density of states at the Fermi level comes out at 0.8203 states/eV/atom. For the energy relative to the elements, uncorrected, the calculation gives -0.594 eV/atom.

[2]
VASP calculation (PBE-GGA) on a relaxed structure of Tb2NbSe.

It has space group R-3m (No. 166, hexagonal axes), with a = 3.5333 Å, b = 3.5333 Å, c = 29.0366 Å, α = 90.00°, β = 90.00° and γ = 120.00°. The inequivalent atoms are Tb at (0.0000, 0.0000, 0.0995), Nb at (0.0000, 0.0000, 0.0000) and Se at (0.0000, 0.0000, 0.5000).

The density of states at the Fermi level comes out at 1.4561 states/eV/atom. For the energy relative to the elements, uncorrected, the calculation gives -0.061 eV/atom.

[3]
VASP calculation (PBE-GGA) on a relaxed structure of TbNbSe4.

It has space group P2_1/c (No. 14), with a = 6.7335 Å, b = 6.7063 Å, c = 6.7241 Å, α = 90.00°, β = 96.88° and γ = 90.00°. The inequivalent atoms are Tb at (0.0000, 0.0000, 0.0000), Nb at (0.5000, 0.0000, 0.5000), Se at (0.1544, 0.1337, 0.3902) and Se at (0.3777, 0.6548, 0.3258).

The density of states at the Fermi level comes out at 0.1693 states/eV/atom. For the energy relative to the elements, uncorrected, the calculation gives -0.939 eV/atom.

[4]
VASP calculation (PBE-GGA) on a relaxed structure of Tb2NbSe6.

It has space group P2_1/c (No. 14), with a = 6.5339 Å, b = 7.4480 Å, c = 11.0277 Å, α = 90.00°, β = 124.74° and γ = 90.00°. The inequivalent atoms are Tb at (0.2061, 0.1249, 0.2411), Nb at (0.5000, 0.0000, 0.0000), Se at (0.1023, 0.1750, 0.9349), Se at (0.2864, 0.6868, 0.9408) and Se at (0.3610, 0.0214, 0.7294).

The density of states at the Fermi level comes out at 0.6104 states/eV/atom. For the energy relative to the elements, uncorrected, the calculation gives -1.216 eV/atom.

[5]
VASP calculation (PBE-GGA) on a relaxed structure of NbTcSe2.

It has space group I-42d (No. 122), with a = 5.8493 Å, b = 5.8493 Å, c = 10.7167 Å, α = 90.00°, β = 90.00° and γ = 90.00°. The inequivalent atoms are Nb at (0.0000, 0.0000, 0.0000), Tc at (0.0000, 0.0000, 0.5000) and Se at (0.2323, 0.2500, 0.6250).

The density of states at the Fermi level comes out at 1.0359 states/eV/atom. The value obtained for the energy above the most stable polymorph in this dataset is 1.14 eV per formula unit. For the energy relative to the elements, uncorrected, the calculation gives 0.183 eV/atom.

[6]
VASP calculation (PBE-GGA) on a relaxed structure of NbTc3Se.

It has space group Pm-3m (No. 221), with a = 4.7684 Å, b = 4.7684 Å, c = 4.7684 Å, α = 90.00°, β = 90.00° and γ = 90.00°. The inequivalent atoms are Nb at (0.0000, 0.0000, 0.0000), Tc at (0.0000, 0.0000, 0.5000) and Se at (0.5000, 0.5000, 0.5000).

The density of states at the Fermi level comes out at 1.5256 states/eV/atom. The value obtained for the energy above the most stable polymorph in this dataset is 4.76 eV per formula unit. For the energy relative to the elements, uncorrected, the calculation gives 1.885 eV/atom.

[7]
VASP calculation (PBE-GGA) on a relaxed structure of NbTcSe2.

It has space group Fm-3m (No. 225), with a = 6.3612 Å, b = 6.3612 Å, c = 6.3612 Å, α = 90.00°, β = 90.00° and γ = 90.00°. The inequivalent atoms are Nb at (0.0000, 0.0000, 0.0000), Tc at (0.0000, 0.0000, 0.5000) and Se at (0.2500, 0.2500, 0.2500).

The density of states at the Fermi level comes out at 0.8052 states/eV/atom. The value obtained for the energy above the most stable polymorph in this dataset is 0.00 eV per formula unit. For the energy relative to the elements, uncorrected, the calculation gives -0.101 eV/atom.

[8]
VASP calculation (PBE-GGA) on a relaxed structure of Nb3TcSe.

It has space group Pm-3m (No. 221), with a = 4.8342 Å, b = 4.8342 Å, c = 4.8342 Å, α = 90.00°, β = 90.00° and γ = 90.00°. The inequivalent atoms are Nb at (0.0000, 0.0000, 0.5000), Tc at (0.0000, 0.0000, 0.0000) and Se at (0.5000, 0.5000, 0.5000).

The density of states at the Fermi level comes out at 1.1469 states/eV/atom. The value obtained for the energy above the most stable polymorph in this dataset is 0.26 eV per formula unit. For the energy relative to the elements, uncorrected, the calculation gives 1.013 eV/atom.

Number 1: total moment 0.000 μB per cell. Number 2: total moment 1.862 μB per cell. Number 3: total moment 0.000 μB per cell. Number 4: total moment 0.000 μB per cell. Number 5: total moment 1.434 μB per cell. Number 6: total moment 2.589 μB per cell. Number 7: total moment 0.000 μB per cell. Number 8: total moment 0.000 μB per cell.